(1)
Material: CsTmAgSe2
Method: DFT, PBE-GGA
State: relaxed

a b c (Å): 8.174 4.784 8.167
angles (deg): 90.00 90.11 90.00
Sites, in units of the cell vectors:
Cs (0.000, 0.002, 0.250)
Cs (0.000, 0.998, 0.750)
Tm (0.500, 0.500, 0.250)
Tm (0.500, 0.500, 0.750)
Ag (0.500, 0.000, 0.000)
Ag (0.500, 0.000, 0.500)
Se (0.270, 0.444, 0.000)
Se (0.270, 0.556, 0.500)
Se (0.730, 0.444, 0.500)
Se (0.730, 0.556, 0.000)

Output
Spin magnetization: 0.000 μB/atom
Formation energy without anion corrections: -1.055 eV per atom

---

(2)
Material: CsTm2AgSe4
Method: DFT, PBE-GGA
State: relaxed

a b c (Å): 7.582 7.582 14.815
angles (deg): 90.00 90.00 147.67
Sites, in units of the cell vectors:
Cs (0.118, 0.882, 0.750)
Cs (0.882, 0.118, 0.250)
Tm (0.370, 0.630, 0.566)
Tm (0.370, 0.630, 0.934)
Tm (0.630, 0.370, 0.066)
Tm (0.630, 0.370, 0.434)
Ag (0.168, 0.832, 0.250)
Ag (0.832, 0.168, 0.750)
Se (0.000, 0.000, 0.000)
Se (0.000, 0.000, 0.500)
Se (0.256, 0.744, 0.096)
Se (0.256, 0.744, 0.404)
Se (0.436, 0.564, 0.750)
Se (0.564, 0.436, 0.250)
Se (0.744, 0.256, 0.596)
Se (0.744, 0.256, 0.904)

Output
Spin magnetization: 0.000 μB/atom
Formation energy without anion corrections: -1.419 eV per atom